1.
{"formula": "ScHgPCl2", "functional": "meta-GGA SCAN", "state": "single point on PBEsol structure", "cell": [[4.9699, 0.0000, 0.0000], [0.0000, 4.9699, 0.0000], [0.0000, 0.0000, 5.1028]], "species": ["Sc", "Hg", "P", "Cl", "Cl"], "frac_coords": [[0.0000, 0.0000, 0.0000], [0.5000, 0.5000, 0.5000], [0.5000, 0.5000, 0.0000], [0.0000, 0.5000, 0.5000], [0.5000, 0.0000, 0.5000]], "spacegroup": "No. 123", "energy_ev_per_cell": -108.43, "raw_formation_energy_ev_per_atom": 0.06}


2.
{"formula": "VSb2", "functional": "meta-GGA SCAN", "state": "single point on PBEsol structure", "cell": [[6.5169, 0.0000, 0.0000], [0.0000, 6.5169, 0.0000], [0.0000, 0.0000, 5.5114]], "species": ["V", "V", "V", "V", "Sb", "Sb", "Sb", "Sb", "Sb", "Sb", "Sb", "Sb"], "frac_coords": [[0.0000, 0.0000, 0.2500], [0.0000, 0.0000, 0.7500], [0.5000, 0.5000, 0.2500], [0.5000, 0.5000, 0.7500], [0.1573, 0.3427, 0.0000], [0.1573, 0.6573, 0.5000], [0.3427, 0.1573, 0.5000], [0.3427, 0.8427, 0.0000], [0.6573, 0.1573, 0.0000], [0.6573, 0.8427, 0.5000], [0.8427, 0.3427, 0.5000], [0.8427, 0.6573, 0.0000]], "spacegroup": "No. 140", "energy_ev_per_cell": -369.04, "raw_formation_energy_ev_per_atom": -0.08}


3.
{"formula": "SnAsIrSe2", "functional": "meta-GGA SCAN", "state": "single point on PBEsol structure", "cell": [[5.1348, 0.0000, 0.0000], [0.0000, 5.1348, 0.0000], [0.0000, 0.0000, 4.5016]], "species": ["Sn", "As", "Ir", "Se", "Se"], "frac_coords": [[0.0000, 0.0000, 0.0000], [0.5000, 0.5000, 0.0000], [0.5000, 0.5000, 0.5000], [0.0000, 0.5000, 0.5000], [0.5000, 0.0000, 0.5000]], "spacegroup": "No. 123", "energy_ev_per_cell": -165.63, "raw_formation_energy_ev_per_atom": 0.35}